[1]
A plane-wave DFT calculation with GGA-PBE was carried out for crystalline InIBr2 at its relaxed geometry.

Calculated values
Energy above the most stable polymorph in this dataset in kJ/mol of formula units: 295
Uncorrected formation energy in eV/f.u.: 0.249
E_tot in eV/atom: -1.8464
M_tot in μB/cell: 0.00

Cell: 14.356 14.356 14.356 Å, 13.38 13.38 13.38°
Positions (direct):
In (0.000, 0.000, 0.000)
Br (0.064, 0.064, 0.064)
I (0.500, 0.500, 0.500)
Br (0.936, 0.936, 0.936)



[2]
A plane-wave DFT calculation with GGA-PBE was carried out for crystalline In2I2Br at its relaxed geometry.

Calculated values
Energy above the most stable polymorph in this dataset in kJ/mol of formula units: 20
Uncorrected formation energy in eV/f.u.: -2.498
E_tot in eV/atom: -2.5496
M_tot in μB/cell: 0.00

Cell: 4.417 5.563 8.815 Å, 108.18 90.08 90.00°
Positions (direct):
I (0.918, 0.737, 0.847)
In (0.418, 0.864, 0.106)
Br (0.420, 0.377, 0.131)
I (0.920, 0.014, 0.408)
In (0.415, 0.567, 0.515)



[3]
A plane-wave DFT calculation with GGA-PBE was carried out for crystalline In4IBr3 at its relaxed geometry.

Calculated values
Energy above the most stable polymorph in this dataset in kJ/mol of formula units: 24
Uncorrected formation energy in eV/f.u.: -4.493
E_tot in eV/atom: -2.7519
M_tot in μB/cell: 0.00

Cell: 6.625 11.167 9.384 Å, 90.00 90.00 90.00°
Positions (direct):
Br (0.065, 0.666, 0.780)
In (0.564, 0.629, 0.807)
Br (0.565, 0.334, 0.720)
Br (0.065, 0.666, 0.220)
I (0.065, 0.235, 0.000)
In (0.064, 0.371, 0.693)
In (0.565, 0.168, 0.000)
Br (0.064, 0.132, 0.500)
Br (0.564, 0.868, 0.000)
I (0.565, 0.765, 0.500)
In (0.564, 0.130, 0.500)
In (0.064, 0.371, 0.307)
Br (0.565, 0.334, 0.280)
In (0.065, 0.832, 0.500)
In (0.064, 0.870, 0.000)
In (0.564, 0.629, 0.193)



[4]
A plane-wave DFT calculation with GGA-PBE was carried out for crystalline In2I2Br at its relaxed geometry.

Calculated values
Energy above the most stable polymorph in this dataset in kJ/mol of formula units: 62
Uncorrected formation energy in eV/f.u.: -2.059
E_tot in eV/atom: -2.4617
M_tot in μB/cell: 0.00

Cell: 8.727 8.727 4.582 Å, 90.00 90.00 90.00°
Positions (direct):
I (0.646, 0.854, 0.500)
Br (0.500, 0.500, 0.000)
I (0.146, 0.646, 0.500)
I (0.354, 0.146, 0.500)
I (0.854, 0.354, 0.500)
Br (0.000, 0.000, 0.000)
In (0.678, 0.178, 0.000)
In (0.178, 0.322, 0.000)
In (0.322, 0.822, 0.000)
In (0.822, 0.678, 0.000)



[5]
A plane-wave DFT calculation with GGA-PBE was carried out for crystalline InIBr at its relaxed geometry.

Calculated values
Uncorrected formation energy in eV/f.u.: -1.734
E_tot in eV/atom: -2.5651
M_tot in μB/cell: 0.00

Cell: 5.761 6.583 8.382 Å, 91.93 90.36 108.59°
Positions (direct):
In (0.506, 0.607, 0.924)
Br (0.058, 0.324, 0.844)
I (0.031, 0.401, 0.349)
In (0.751, 0.362, 0.082)
I (0.394, 0.934, 0.119)
Br (0.634, 0.772, 0.659)



[6]
A plane-wave DFT calculation with GGA-PBE was carried out for crystalline In3IBr2 at its relaxed geometry.

Calculated values
Energy above the most stable polymorph in this dataset in kJ/mol of formula units: 13
Uncorrected formation energy in eV/f.u.: -3.247
E_tot in eV/atom: -2.7264
M_tot in μB/cell: 0.00

Cell: 6.746 9.030 9.030 Å, 98.92 90.00 90.00°
Positions (direct):
I (0.493, 0.176, 0.176)
In (0.993, 0.459, 0.819)
In (0.493, 0.541, 0.181)
In (0.493, 0.846, 0.846)
Br (0.493, 0.501, 0.833)
I (0.993, 0.824, 0.824)
In (0.993, 0.819, 0.459)
In (0.493, 0.181, 0.541)
Br (0.493, 0.833, 0.501)
Br (0.993, 0.499, 0.167)
In (0.993, 0.154, 0.154)
Br (0.993, 0.167, 0.499)